Model i:
Compound: RbGaN2F
Source: Alexandria via LeMat-Bulk
Functional: GGA-PBE
Structure: optimized geometry

Geometry as POSCAR:
```
RbGaN2F
1.0
4.019 0.000 0.000
0.000 4.019 0.000
0.000 0.000 4.694
Rb Ga N F
1 1 2 1
Cartesian
0.000 0.000 0.000
2.009 2.009 2.347
0.000 2.009 2.347
2.009 0.000 2.347
2.009 2.009 0.000
```

As for the density of states at the Fermi level: 0.39 states/eV/atom. Its space group is P4/mmm.


Model ii:
Compound: RbGaN2F
Source: Alexandria via LeMat-Bulk
Functional: GGA-PBE
Structure: optimized geometry

Geometry as POSCAR:
```
RbGaN2F
1.0
5.470 0.000 0.000
0.000 5.470 0.000
0.000 0.000 5.066
Rb Ga N F
1 1 2 1
Cartesian
0.000 0.000 0.000
2.735 2.735 2.533
0.000 2.735 0.000
2.735 0.000 0.000
0.000 0.000 2.533
```

As for the density of states at the Fermi level: 0.23 states/eV/atom. Its space group is P4/mmm.


What should be chosen as the least stable of them? Choose model ii.


Model i:
Compound: GaReN2F
Source: Alexandria via LeMat-Bulk
Functional: GGA-PBE
Structure: optimized geometry

Geometry as POSCAR:
```
GaReN2F
1.0
3.899 0.000 0.000
0.000 3.899 0.000
0.000 0.000 4.295
Ga Re N F
1 1 2 1
Cartesian
0.000 0.000 0.000
1.950 1.950 2.148
0.000 1.950 2.148
1.950 0.000 2.148
1.950 1.950 0.000
```

As for the density of states at the Fermi level: 0.67 states/eV/atom. Its space group is P4/mmm.


Model ii:
Compound: GaReN2F
Source: Alexandria via LeMat-Bulk
Functional: GGA-PBE
Structure: optimized geometry

Geometry as POSCAR:
```
GaReN2F
1.0
3.966 0.000 0.000
0.000 3.966 0.000
0.000 0.000 3.651
Ga Re N F
1 1 2 1
Cartesian
0.000 0.000 0.000
1.983 1.983 1.825
0.000 1.983 0.000
1.983 0.000 0.000
0.000 0.000 1.825
```

As for the density of states at the Fermi level: 0.30 states/eV/atom. Its space group is P4/mmm.


What should be chosen as the least stable of them? Choose model ii.


Model i:
Compound: GaRhNF2
Source: Alexandria via LeMat-Bulk
Functional: GGA-PBE
Structure: optimized geometry

Geometry as POSCAR:
```
GaRhNF2
1.0
3.808 0.000 0.000
0.000 3.808 0.000
0.000 0.000 4.111
Ga Rh N F
1 1 1 2
Cartesian
0.000 0.000 0.000
1.904 1.904 2.056
0.000 0.000 2.056
0.000 1.904 0.000
1.904 0.000 0.000
```

As for the density of states at the Fermi level: 1.16 states/eV/atom. Its space group is P4/mmm.


Model ii:
Compound: GaRhNF2
Source: Alexandria via LeMat-Bulk
Functional: GGA-PBE
Structure: optimized geometry

Geometry as POSCAR:
```
GaRhNF2
1.0
4.464 0.000 0.000
0.000 4.464 0.000
0.000 0.000 3.674
Ga Rh N F
1 1 1 2
Cartesian
0.000 0.000 0.000
2.232 2.232 1.837
2.232 2.232 0.000
0.000 2.232 1.837
2.232 0.000 1.837
```

As for the density of states at the Fermi level: 0.35 states/eV/atom. Its space group is P4/mmm.


What should be chosen as the least stable of them? Choose model i.


Model i:
Compound: GaRuNF2
Source: Alexandria via LeMat-Bulk
Functional: GGA-PBE
Structure: optimized geometry

Geometry as POSCAR:
```
GaRuNF2
1.0
4.346 0.000 0.000
0.000 4.346 0.000
0.000 0.000 3.731
Ga Ru N F
1 1 1 2
Cartesian
0.000 0.000 0.000
2.173 2.173 1.865
2.173 2.173 0.000
0.000 2.173 1.865
2.173 0.000 1.865
```

As for the density of states at the Fermi level: 0.51 states/eV/atom. Its space group is P4/mmm.


Model ii:
Compound: GaRuNF2
Source: Alexandria via LeMat-Bulk
Functional: GGA-PBE
Structure: optimized geometry

Geometry as POSCAR:
```
GaRuNF2
1.0
3.929 0.000 0.000
0.000 3.929 0.000
0.000 0.000 3.925
Ga Ru N F
1 1 1 2
Cartesian
0.000 0.000 0.000
1.964 1.964 1.962
0.000 0.000 1.962
0.000 1.964 0.000
1.964 0.000 0.000
```

As for the density of states at the Fermi level: 0.62 states/eV/atom. Its space group is P4/mmm.


What should be chosen as the least stable of them? Choose model ii.